VASP calculation (GGA-PBE) on a geometry-optimized CsLuZrTe3 structure.

Cell lengths 9.058, 9.058, 11.436 Å; angles 90.00, 90.00, 151.51 degrees
Last column: magnetic moment on the atom in μB.
Element x y z (fractional)
Zr1 0.967 0.033 0.250  0.35
Te1 0.118 0.882 0.957  -0.01
Lu1 0.500 0.500 0.000  0.08
Zr2 0.033 0.967 0.750  0.35
Te2 0.432 0.568 0.750  -0.01
Te3 0.882 0.118 0.043  -0.01
Te4 0.568 0.432 0.250  -0.01
Lu2 0.500 0.500 0.500  0.08
Te5 0.118 0.882 0.543  -0.01
Te6 0.882 0.118 0.457  -0.01
Cs1 0.752 0.248 0.750  0.00
Cs2 0.248 0.752 0.250  0.00

Energy relative to the lowest polymorph listed for this composition   0.000 eV per formula unit
VASP energy   -4.90 eV per atom

=====

VASP calculation (GGA-PBE) on a geometry-optimized TmBW structure.

Cell lengths 4.439, 4.439, 4.439 Å; angles 60.00, 60.00, 60.00 degrees
Element x y z (fractional)
Tm1 0.000 0.000 0.000
W1 0.750 0.750 0.750
B1 0.250 0.250 0.250

Energy relative to the lowest polymorph listed for this composition   5.180 eV per formula unit
VASP energy   -5.86 eV per atom

=====

VASP calculation (GGA-PBE) on a geometry-optimized MgScCoAs structure.

Cell lengths 4.514, 4.514, 4.514 Å; angles 60.00, 60.00, 60.00 degrees
Last column: magnetic moment on the atom in μB.
Element x y z (fractional)
As1 0.250 0.250 0.250  -0.04
Sc1 0.000 0.000 0.000  0.12
Mg1 0.500 0.500 0.500  0.01
Co1 0.750 0.750 0.750  -0.81

Energy relative to the lowest polymorph listed for this composition   0.000 eV per formula unit
VASP energy   -5.19 eV per atom

=====

VASP calculation (GGA-PBE) on a geometry-optimized HoLu2Ge4Pd4 structure.

Cell lengths 8.059, 8.059, 8.059 Å; angles 150.36, 127.66, 61.31 degrees
Element x y z (fractional)
Pd1 0.973 0.675 0.298
Lu1 0.375 0.875 0.500
Ho1 0.000 0.000 0.000
Ge1 0.686 0.500 0.186
Pd2 0.623 0.325 0.298
Pd3 0.027 0.325 0.702
Pd4 0.377 0.675 0.702
Ge2 0.314 0.500 0.814
Lu2 0.625 0.125 0.500
Ge3 0.781 0.781 0.000
Ge4 0.219 0.219 0.000

VASP energy   -5.70 eV per atom

=====

VASP calculation (GGA-PBE) on a geometry-optimized Y2As3W4C3 structure.

Cell lengths 5.718, 5.718, 13.221 Å; angles 96.55, 96.55, 61.82 degrees
Element x y z (fractional)
W1 0.695 0.828 0.072
As1 0.841 0.536 0.232
C1 0.670 0.149 0.995
W2 0.196 0.983 0.576
W3 0.983 0.196 0.076
Y1 0.365 0.524 0.117
As2 0.961 0.039 0.750
W4 0.017 0.804 0.924
C2 0.851 0.330 0.505
W5 0.305 0.172 0.928
Y2 0.524 0.365 0.617
C3 0.500 0.000 0.500
W6 0.804 0.017 0.424
W7 0.172 0.305 0.428
Y3 0.476 0.635 0.383
W8 0.828 0.695 0.572
As3 0.159 0.464 0.768
As4 0.039 0.961 0.250
As5 0.536 0.841 0.732
As6 0.464 0.159 0.268
C4 0.149 0.670 0.495
C5 0.330 0.851 0.005
Y4 0.635 0.476 0.883
C6 0.000 0.500 0.000

VASP energy   -9.10 eV per atom

=====

VASP calculation (GGA-PBE) on a geometry-optimized SrHoFe structure.

Cell lengths 5.016, 5.016, 5.016 Å; angles 60.00, 60.00, 60.00 degrees
Element x y z (fractional)
Ho1 0.000 0.000 0.000
Sr1 0.250 0.250 0.250
Fe1 0.750 0.750 0.750

VASP energy   -3.70 eV per atom

=====

VASP calculation (GGA-PBE) on a geometry-optimized ScCoAgB structure.

Cell lengths 4.226, 4.226, 4.226 Å; angles 60.00, 60.00, 60.00 degrees
Element x y z (fractional)
Ag1 0.250 0.250 0.250
Co1 0.750 0.750 0.750
Sc1 0.500 0.500 0.500
B1 0.000 0.000 0.000

Energy relative to the lowest polymorph listed for this composition   0.151 eV per formula unit
VASP energy   -5.31 eV per atom

=====

VASP calculation (GGA-PBE) on a geometry-optimized Pm7GaI12 structure.

Cell lengths 9.930, 9.930, 9.930 Å; angles 107.90, 107.90, 107.90 degrees
Element x y z (fractional)
I1 0.845 0.608 0.528
Pm1 0.319 0.107 0.036
I2 0.922 0.312 0.769
I3 0.528 0.845 0.608
Pm2 0.893 0.964 0.681
Pm3 0.681 0.893 0.964
I4 0.392 0.472 0.155
I5 0.155 0.392 0.472
I6 0.608 0.528 0.845
Pm4 0.500 0.500 0.500
I7 0.312 0.769 0.922
I8 0.688 0.231 0.078
Ga1 0.000 0.000 0.000
Pm5 0.036 0.319 0.107
I9 0.078 0.688 0.231
I10 0.472 0.155 0.392
I11 0.231 0.078 0.688
Pm6 0.107 0.036 0.319
I12 0.769 0.922 0.312
Pm7 0.964 0.681 0.893

VASP energy   -4.00 eV per atom

=====

VASP calculation (GGA-PBE) on a geometry-optimized Pr2Dy2CI3Br2 structure.

Cell lengths 9.445, 9.445, 8.638 Å; angles 102.85, 102.85, 24.28 degrees
Element x y z (fractional)
Pr1 0.641 0.641 0.067
Dy1 0.001 0.001 0.811
I1 0.166 0.166 0.357
Dy2 0.999 0.999 0.189
I2 0.834 0.834 0.643
I3 0.500 0.500 0.500
Br1 0.164 0.164 0.819
Pr2 0.359 0.359 0.933
C1 0.500 0.500 0.000
Br2 0.836 0.836 0.181

Energy relative to the lowest polymorph listed for this composition   0.158 eV per formula unit
VASP energy   -4.82 eV per atom

=====

VASP calculation (GGA-PBE) on a geometry-optimized KAlPdSe3 structure.

Cell lengths 14.526, 3.861, 11.046 Å; angles 90.00, 90.00, 90.00 degrees
Element x y z (fractional)
K1 0.221 0.250 0.058
Se1 0.397 0.250 0.764
Al1 0.007 0.250 0.363
Al2 0.493 0.750 0.863
Al3 0.507 0.250 0.137
Se2 0.902 0.750 0.445
Pd1 0.503 0.250 0.583
K2 0.279 0.750 0.558
Se3 0.897 0.250 0.736
Se4 0.103 0.750 0.264
Se5 0.587 0.750 0.662
Se6 0.913 0.250 0.162
Se7 0.413 0.250 0.338
Pd2 0.497 0.750 0.417
K3 0.779 0.750 0.942
Se8 0.603 0.750 0.236
Pd3 0.003 0.250 0.917
Se9 0.087 0.750 0.838
Pd4 0.997 0.750 0.083
Se10 0.598 0.250 0.945
Se11 0.098 0.250 0.555
Se12 0.402 0.750 0.055
Al4 0.993 0.750 0.637
K4 0.721 0.250 0.442

VASP energy   -4.11 eV per atom

=====

VASP calculation (GGA-PBE) on a geometry-optimized Ta2In2PdPt structure.

Cell lengths 7.655, 4.418, 14.655 Å; angles 90.00, 100.01, 90.00 degrees
Element x y z (fractional)
In1 0.817 0.500 0.939
In2 0.307 0.000 0.935
Pt1 0.500 0.500 0.000
Pd1 0.500 0.000 0.500
Pd2 0.000 0.000 0.000
In3 0.061 0.000 0.185
In4 0.313 0.500 0.440
In5 0.813 0.000 0.440
Ta1 0.689 0.500 0.564
In6 0.557 0.000 0.686
Ta2 0.685 0.000 0.063
Ta3 0.437 0.000 0.312
Pt2 0.250 0.500 0.250
Ta4 0.187 0.000 0.562
In7 0.067 0.500 0.687
Ta5 0.934 0.000 0.811
Pt3 0.750 0.500 0.750
Pd3 0.000 0.500 0.500
In8 0.563 0.500 0.188
Ta6 0.938 0.500 0.312
Pt4 0.750 0.000 0.250
Ta7 0.441 0.500 0.813
Ta8 0.191 0.500 0.063
Pd4 0.250 0.000 0.750

VASP energy   -6.95 eV per atom

=====

VASP calculation (GGA-PBE) on a geometry-optimized La2GdMg3Au3 structure.

Cell lengths 4.241, 7.775, 7.775 Å; angles 120.18, 90.00, 90.00 degrees
Element x y z (fractional)
Mg1 0.500 0.240 0.005
Au1 0.500 0.659 0.335
Au2 0.500 0.335 0.659
La1 0.000 0.999 0.585
Au3 0.000 0.006 0.006
Mg2 0.500 0.758 0.758
Mg3 0.500 0.005 0.240
Gd1 0.000 0.413 0.413
La2 0.000 0.585 0.999

VASP energy   -3.89 eV per atom

=====

VASP calculation (GGA-PBE) on a geometry-optimized Li2ReF6 structure.

Cell lengths 4.561, 4.561, 8.964 Å; angles 90.00, 90.00, 90.00 degrees
Last column: magnetic moment on the atom in μB.
Element x y z (fractional)
Li1 0.000 0.000 0.336  0.01
F1 0.800 0.200 0.834  0.07
Li2 0.500 0.500 0.164  0.00
Li3 0.500 0.500 0.836  0.00
F2 0.800 0.200 0.166  0.07
F3 0.196 0.804 0.500  0.07
Re1 0.500 0.500 0.500  2.49
F4 0.696 0.696 0.000  0.06
F5 0.300 0.300 0.334  0.06
F6 0.300 0.300 0.666  0.06
F7 0.304 0.304 0.000  0.06
Li4 0.000 0.000 0.664  0.01
F8 0.200 0.800 0.166  0.07
F9 0.700 0.700 0.666  0.06
F10 0.200 0.800 0.834  0.07
Re2 0.000 0.000 0.000  2.49
F11 0.804 0.196 0.500  0.07
F12 0.700 0.700 0.334  0.06

Energy relative to the lowest polymorph listed for this composition   0.000 eV per formula unit
VASP energy   -5.50 eV per atom

=====

VASP calculation (GGA-PBE) on a geometry-optimized PmHfNO structure.

Cell lengths 4.220, 4.220, 8.406 Å; angles 90.00, 90.00, 90.00 degrees
Element x y z (fractional)
N1 0.250 0.250 0.541
O1 0.750 0.250 0.000
N2 0.750 0.750 0.459
Hf1 0.250 0.750 0.500
Pm1 0.250 0.250 0.123
Hf2 0.750 0.250 0.500
Pm2 0.750 0.750 0.877
O2 0.250 0.750 0.000

Energy relative to the lowest polymorph listed for this composition   0.152 eV per formula unit
VASP energy   -8.97 eV per atom

=====

VASP calculation (GGA-PBE) on a geometry-optimized GaPt17 structure.

Cell lengths 4.794, 5.540, 34.126 Å; angles 90.00, 90.12, 90.00 degrees
Element x y z (fractional)
Pt1 0.500 0.248 0.294
Pt2 0.167 0.248 0.774
Pt3 0.333 0.000 0.636
Pt4 0.333 0.000 0.432
Pt5 0.500 0.252 0.706
Pt6 0.001 0.000 0.705
Pt7 0.833 0.750 0.432
Pt8 0.167 0.250 0.568
Pt9 0.000 0.000 0.500
Pt10 0.834 0.252 0.226
Pt11 0.996 0.500 0.706
Ga1 0.666 0.500 0.774
Pt12 0.167 0.750 0.568
Pt13 0.665 0.000 0.363
Pt14 0.500 0.752 0.294
Ga2 0.334 0.000 0.226
Pt15 0.333 0.500 0.432
Pt16 0.004 0.000 0.294
Pt17 0.667 0.000 0.568
Pt18 0.500 0.750 0.500
Pt19 0.000 0.500 0.500
Pt20 0.500 0.250 0.500
Pt21 0.833 0.251 0.637
Pt22 0.167 0.751 0.363
Pt23 0.833 0.749 0.637
Pt24 0.833 0.250 0.432
Pt25 0.669 0.000 0.774
Pt26 0.667 0.500 0.568
Pt27 0.500 0.748 0.706
Pt28 0.834 0.748 0.226
Pt29 0.331 0.500 0.226
Pt30 0.167 0.752 0.774
Pt31 0.999 0.500 0.295
Pt32 0.667 0.500 0.364
Pt33 0.167 0.249 0.363
Pt34 0.335 0.500 0.637

VASP energy   -5.85 eV per atom

=====

VASP calculation (GGA-PBE) on a geometry-optimized La2CuGe2Pt structure.

Cell lengths 4.329, 4.329, 8.415 Å; angles 90.00, 90.00, 120.00 degrees
Element x y z (fractional)
Ge1 0.333 0.667 0.500
La1 0.667 0.333 0.749
Pt1 0.000 0.000 0.500
La2 0.667 0.333 0.251
Ge2 0.000 0.000 0.000
Cu1 0.333 0.667 0.000

VASP energy   -5.69 eV per atom

=====

VASP calculation (GGA-PBE) on a geometry-optimized CsZrHg3Te4 structure.

Cell lengths 7.467, 7.467, 7.467 Å; angles 90.00, 90.00, 90.00 degrees
Element x y z (fractional)
Zr1 0.500 0.500 0.500
Te1 0.286 0.286 0.286
Te2 0.714 0.286 0.714
Cs1 0.000 0.000 0.000
Te3 0.286 0.714 0.714
Te4 0.714 0.714 0.286
Hg1 0.500 0.000 0.500
Hg2 0.500 0.500 0.000
Hg3 0.000 0.500 0.500

Energy relative to the lowest polymorph listed for this composition   0.694 eV per formula unit
VASP energy   -2.90 eV per atom

=====

VASP calculation (GGA-PBE) on a geometry-optimized BeNb2As structure.

Cell lengths 4.448, 4.448, 4.448 Å; angles 60.00, 60.00, 60.00 degrees
Element x y z (fractional)
As1 0.500 0.500 0.500
Nb1 0.750 0.750 0.750
Nb2 0.000 0.000 0.000
Be1 0.250 0.250 0.250

VASP energy   -6.84 eV per atom

=====

VASP calculation (GGA-PBE) on a geometry-optimized NdPu2Ni9 structure.

Cell lengths 8.632, 8.632, 8.632 Å; angles 32.45, 32.45, 32.45 degrees
Element x y z (fractional)
Ni1 0.417 0.417 0.916
Pu1 0.148 0.148 0.148
Ni2 0.084 0.583 0.583
Ni3 0.500 0.500 0.500
Ni4 0.583 0.084 0.583
Ni5 0.333 0.333 0.333
Ni6 0.417 0.916 0.417
Ni7 0.667 0.667 0.667
Ni8 0.583 0.583 0.084
Ni9 0.916 0.417 0.417
Pu2 0.852 0.852 0.852
Nd1 0.000 0.000 0.000

ΔE_f   -0.066 eV/atom
VASP energy   -6.99 eV per atom

=====

VASP calculation (GGA-PBE) on a geometry-optimized TbPrIr structure.

Cell lengths 4.798, 4.798, 4.798 Å; angles 60.00, 60.00, 60.00 degrees
Element x y z (fractional)
Tb1 0.750 0.750 0.750
Pr1 0.000 0.000 0.000
Ir1 0.250 0.250 0.250

ΔE_f   0.265 eV/atom
VASP energy   -5.82 eV per atom